The following is a GGA-PBEsol calculation of an optimized crystal structure of TaAg2Pt, from Alexandria via LeMat-Bulk.

Its total energy is -6.1444 eV per atom. Its energy of formation is 0.390 eV/atom. As for the energy above the lowest structure with this stoichiometry: 464 meV/atom.

The space group is P4/mmm (No. 123) and the conventional cell measures 4.758, 4.758 and 2.894 Å, with angles of 90.00, 90.00 and 90.00 degrees. Symmetry generates all atoms from Ta at (0.000, 0.000, 0.000), Ag at (0.000, 0.500, 0.500) and Pt at (0.500, 0.500, 0.000).